(1)
The following is a DFT calculation (PBE-GGA) of a geometry-optimized YTc2Br structure.

Geometry as extended XYZ:
```
4
Lattice="3.2387 0.0000 0.0000 0.0000 3.2387 0.0000 0.0000 0.0000 8.1143" Properties=species:S:1:pos:R:3 pbc="T T T"
Y 0.0000 0.0000 3.8819
Tc 0.0000 0.0000 0.6525
Tc 1.6194 1.6194 1.7970
Br 1.6194 1.6194 5.8401
```

Values from the calculation:
For the volume, the calculation gives 85.1 Å³ per cell. The calculation puts the density of states at the Fermi level at 2.63 states/eV/f.u. The relative energy among the computed polymorphs is 0.0386 eV per atom.

(2)
The following is a DFT calculation (PBE-GGA) of a geometry-optimized LiBe2Cu2 structure.

Geometry as extended XYZ:
```
5
Lattice="-1.7086 -2.3699 -1.1839 -0.3475 -1.1962 2.8958 -5.8483 1.3374 1.5665" Properties=species:S:1:pos:R:3 pbc="T T T"
Be -4.2925 -1.4078 0.6193
Be -3.6119 -0.8209 2.6591
Cu -2.0660 -1.1111 1.0090
Cu -5.8385 -1.1175 2.2695
Li 0.0000 0.0000 0.0000
```

Values from the calculation:
The value obtained for the formation energy is 141 meV per atom. For the volume, the calculation gives 57.5 Å³ per cell. The calculation puts the density of states at the Fermi level at 1.28 states/eV/f.u. The relative energy among the computed polymorphs is 0.2212 eV per atom.

(3)
The following is a DFT calculation (PBE-GGA) of a geometry-optimized ThMg2Ni2 structure.

Geometry as extended XYZ:
```
5
Lattice="-3.5343 1.3013 -0.6018 -1.5245 -1.9490 4.7386 3.3172 4.0205 1.2983" Properties=species:S:1:pos:R:3 pbc="T T T"
Th 0.0000 0.0000 0.0000
Mg 0.4287 2.4016 2.6755
Mg -2.1702 0.9712 2.7596
Ni -1.2864 2.3727 0.5993
Ni -0.4552 1.0001 4.8358
```

Values from the calculation:
The value obtained for the formation energy is -286 meV per atom. For the volume, the calculation gives 99.1 Å³ per cell. The calculation puts the density of states at the Fermi level at 2.91 states/eV/f.u. The relative energy among the computed polymorphs is 0.0000 eV per atom.

(4)
The following is a DFT calculation (PBE-GGA) of a geometry-optimized CsTcOF2 structure.

Geometry as extended XYZ:
```
5
Lattice="5.2276 0.0000 0.0000 0.0000 5.2276 0.0000 0.0000 0.0000 4.3267" Properties=species:S:1:pos:R:3 pbc="T T T"
Cs 0.0000 0.0000 0.0000
Tc 2.6138 2.6138 2.1633
O 0.0000 0.0000 2.1633
F 0.0000 2.6138 0.0000
F 2.6138 0.0000 0.0000
```

Values from the calculation:
For the volume, the calculation gives 118.2 Å³ per cell. The calculation puts the density of states at the Fermi level at 3.36 states/eV/f.u. The relative energy among the computed polymorphs is 1.8989 eV per atom.

(5)
The following is a DFT calculation (PBE-GGA) of a geometry-optimized Sr4Pt structure.

Geometry as extended XYZ:
```
5
Lattice="6.0556 0.0000 0.0000 0.0000 6.0556 0.0000 0.0000 0.0000 6.0556" Properties=species:S:1:pos:R:3 pbc="T T T"
Sr 0.0000 0.0000 0.0000
Sr 3.0278 0.0000 3.0278
Sr 0.0000 3.0278 3.0278
Sr 3.0278 3.0278 0.0000
Pt 3.0278 3.0278 3.0278
```

Values from the calculation:
The value obtained for the formation energy is -428 meV per atom. For the volume, the calculation gives 222.1 Å³ per cell. The calculation puts the density of states at the Fermi level at 4.21 states/eV/f.u. The relative energy among the computed polymorphs is 0.0458 eV per atom.

(6)
The following is a DFT calculation (PBE-GGA) of a geometry-optimized PrEu2 structure.

Geometry as extended XYZ:
```
3
Lattice="3.7899 0.0000 0.0000 0.0000 3.7899 0.0000 -1.8949 -1.8949 8.2231" Properties=species:S:1:pos:R:3 pbc="T T T"
Eu 1.8949 1.8949 2.6923
Eu 0.0000 0.0000 5.5308
Pr 0.0000 0.0000 0.0000
```

Values from the calculation:
The value obtained for the formation energy is 49 meV per atom. For the volume, the calculation gives 118.1 Å³ per cell. The calculation puts the density of states at the Fermi level at 3.49 states/eV/f.u. The relative energy among the computed polymorphs is 0.0000 eV per atom.

(7)
The following is a DFT calculation (PBE-GGA) of a geometry-optimized Ac4HSe5 structure.

Geometry as extended XYZ:
```
10
Lattice="-1.2092 0.2835 -4.6100 -2.2197 -7.3182 0.1322 -4.9261 10.1509 4.3886" Properties=species:S:1:pos:R:3 pbc="T T T"
Ac -5.1196 -0.1487 1.3337
Ac -7.6079 4.8342 -0.1796
Ac -3.2354 3.2650 -1.4229
Ac -0.7471 -1.7179 0.0903
H -0.6046 0.1417 -2.3050
Se -6.0638 2.1202 -0.7515
Se -4.7478 5.8576 -0.8668
Se -3.6073 -2.7413 0.7776
Se -1.7144 -3.5173 -2.2389
Se -2.2912 0.9961 0.6622
```

Values from the calculation:
The value obtained for the total DFT energy (no corrections) is -5.375 eV/atom. For the volume, the calculation gives 313.1 Å³ per cell. The calculation puts the density of states at the Fermi level at 2.18 states/eV/f.u.

(8)
The following is a DFT calculation (PBE-GGA) of a geometry-optimized La8Pt3CI3 structure.

Geometry as extended XYZ:
```
15
Lattice="-0.6682 -5.9502 -6.0522 6.9966 0.4077 4.8147 -7.8593 -3.3788 4.1895" Properties=species:S:1:pos:R:3 pbc="T T T"
La 1.1561 -2.4424 2.2736
La -2.6869 -6.4789 0.6784
La 0.9940 -5.5305 -0.6604
La -2.5249 -3.3908 3.6124
La -2.8145 -5.7561 -3.2782
La 1.2836 -3.1653 6.2302
La -2.4508 -2.5167 0.0168
La 0.9199 -6.4047 2.9352
Pt -4.2637 -4.6645 -0.9314
Pt -0.7654 -4.4607 1.4760
Pt -0.4314 -1.4856 4.5021
C -3.9297 -1.6894 2.0948
I 0.0000 0.0000 0.0000
I 3.4983 0.2038 2.4074
I 3.1642 -2.7713 -0.6188
```

Values from the calculation:
The value obtained for the total DFT energy (no corrections) is -5.676 eV/atom. For the volume, the calculation gives 511.2 Å³ per cell. The calculation puts the density of states at the Fermi level at 15.28 states/eV/f.u.